(1)
The following is a DFT calculation (PBE-GGA) of an optimized crystal structure of Tm2Al5Rh3.

The structure belongs to space group Cmc2_1 (No. 36); the cell edges are 4.2139, 24.6704 and 6.7672 Å and the angles 90.00°, 90.00° and 90.00°. The distinct sites, in fractional coordinates, are Tm at (0.0000, 0.0236, 0.0000), Tm at (0.0000, 0.3245, 0.0774), Al at (0.0000, 0.0993, 0.3771), Al at (0.0000, 0.2068, 0.8954), Al at (0.0000, 0.2116, 0.2887), Al at (0.0000, 0.3713, 0.5393), Al at (0.0000, 0.4449, 0.1698), Rh at (0.0000, 0.1099, 0.7583), Rh at (0.0000, 0.2700, 0.5952) and Rh at (0.0000, 0.4533, 0.7877).

The calculation puts the formation enthalpy at 0 K at -0.83 eV per atom. Its magnetization is 0.00 μB per formula unit.


(2)
The following is a DFT calculation (PBE-GGA) of an optimized crystal structure of Dy4Tm3Sc2.

The structure belongs to space group C2/c (No. 15); the cell edges are 16.4734, 9.3948 and 6.8446 Å and the angles 90.00°, 90.03° and 90.00°. The distinct sites, in fractional coordinates, are Dy at (0.0175, 0.1674, 0.0002), Dy at (0.1593, 0.3187, 0.4995), Tm at (0.0000, 0.5003, 0.2500), Tm at (0.1724, 0.9998, 0.2501) and Sc at (0.1758, 0.3483, 0.9996).

The calculation puts the formation enthalpy at 0 K at 0.06 eV per atom. The energy above the most stable polymorph in this dataset is 0.00 eV per formula unit. Its magnetization is 0.00 μB per formula unit.


(3)
The following is a DFT calculation (PBE-GGA) of an optimized crystal structure of CoSbAs2.

The structure belongs to space group Immm (No. 71); the cell edges are 3.0338, 4.6762 and 10.8076 Å and the angles 90.00°, 90.00° and 90.00°. The distinct sites, in fractional coordinates, are Co at (0.0000, 0.0000, 0.0000), Sb at (0.0000, 0.0000, 0.5000) and As at (0.0000, 0.5000, 0.3224).

The uncorrected formation energy is 0.191 eV/atom. Its magnetization is 0.04 μB per formula unit.


(4)
The following is a DFT calculation (PBE-GGA) of an optimized crystal structure of Pm3MgAl2O9.

The structure belongs to space group P-3m1 (No. 164); the cell edges are 5.3726, 5.3726 and 6.6088 Å and the angles 90.00°, 90.00° and 120.00°. The distinct sites, in fractional coordinates, are Pm at (0.0000, 0.0000, 0.0000), Pm at (0.3333, 0.6667, 0.6574), Mg at (0.0000, 0.0000, 0.5000), Al at (0.3333, 0.6667, 0.1614), O at (0.0000, 0.5000, 0.0000) and O at (0.1720, 0.3440, 0.3258).

The uncorrected formation energy is -2.985 eV/atom. Its magnetization is 0.00 μB per formula unit.


(5)
The following is a DFT calculation (PBE-GGA) of an optimized crystal structure of SiNi2Ge2.

The structure belongs to space group P4/mbm (No. 127); the cell edges are 7.1253, 7.1253 and 2.7490 Å and the angles 90.00°, 90.00° and 90.00°. The distinct sites, in fractional coordinates, are Si at (0.0000, 0.0000, 0.0000), Ni at (0.1341, 0.3659, 0.0000) and Ge at (0.1626, 0.6626, 0.5000).

The uncorrected formation energy is 0.046 eV/atom. Its magnetization is 0.00 μB per formula unit.


(6)
The following is a DFT calculation (PBE-GGA) of an optimized crystal structure of Pa2ZnNi9.

The structure belongs to space group R-3m (No. 166, hexagonal axes); the cell edges are 4.8474, 4.8474 and 24.4308 Å and the angles 90.00°, 90.00° and 120.00°. The distinct sites, in fractional coordinates, are Pa at (0.0000, 0.0000, 0.1344), Zn at (0.0000, 0.0000, 0.0000), Ni at (0.0000, 0.0000, 0.3328), Ni at (0.0000, 0.0000, 0.5000) and Ni at (0.0015, 0.5008, 0.9172).

The calculation puts the formation enthalpy at 0 K at -0.24 eV per atom. The energy above the most stable polymorph in this dataset is 1.21 eV per formula unit. Its magnetization is 0.00 μB per formula unit.


(7)
The following is a DFT calculation (PBE-GGA) of an optimized crystal structure of Pm2Ho3In3.

The structure belongs to space group Immm (No. 71); the cell edges are 4.5216, 4.8837 and 20.3189 Å and the angles 90.00°, 90.00° and 90.00°. The distinct sites, in fractional coordinates, are Pm at (0.0000, 0.0000, 0.2401), Ho at (0.0000, 0.0000, 0.0000), Ho at (0.0000, 0.5000, 0.1172), In at (0.0000, 0.0000, 0.5000) and In at (0.0000, 0.5000, 0.3777).

The calculation puts the formation enthalpy at 0 K at -0.35 eV per atom. The energy above the most stable polymorph in this dataset is 0.02 eV per formula unit. Its magnetization is 0.00 μB per formula unit.


(8)
The following is a DFT calculation (PBE-GGA) of an optimized crystal structure of ZrFeRe.

The structure belongs to space group Imma (No. 74); the cell edges are 5.0806, 5.1418 and 7.4342 Å and the angles 90.00°, 90.00° and 90.00°. The distinct sites, in fractional coordinates, are Zr at (0.0000, 0.2500, 0.1253), Fe at (0.2500, 0.2500, 0.7500) and Re at (0.0000, 0.0000, 0.5000).

The calculation puts the formation enthalpy at 0 K at -0.28 eV per atom. The energy above the most stable polymorph in this dataset is 0.00 eV per formula unit. Its magnetization is 2.00 μB per formula unit.


What is the magnetization in the fifth record? 0.00 μB per formula unit